Density functional theory data (PBEsol) for a relaxed structure of Y2SiTe.

a = 3.5889 Å, b = 3.5889 Å, c = 7.6996 Å
α = 90.00°, β = 90.00°, γ = 100.90°
Sites, in units of the cell vectors:
Y1 0.0000 0.0000 0.2681
Y2 0.0000 0.0000 0.7319
Si1 0.5000 0.5000 0.5000
Te1 0.5000 0.5000 0.0000

Computed properties:
- VASP energy (eV/atom) = -6.587
- raw formation energy (eV/f.u.) = -3.4
- D(E_F) (states/eV/cell) = 1.9
- SG = Cmmm (65)

Density functional theory data (PBEsol) for a relaxed structure of MgTi3C.

a = 4.2190 Å, b = 4.2190 Å, c = 4.2190 Å
α = 90.00°, β = 90.00°, γ = 90.00°
Sites, in units of the cell vectors:
Mg1 0.5000 0.5000 0.5000
Ti1 0.5000 0.0000 0.0000
Ti2 0.0000 0.5000 0.0000
Ti3 0.0000 0.0000 0.5000
C1 0.0000 0.0000 0.0000

Computed properties:
- VASP energy (eV/atom) = -7.612
- D(E_F) (states/eV/cell) = 3.0
- energy of formation from the pure elements (eV per atom) = -0.347
- SG = Pm-3m (221)

Density functional theory data (PBEsol) for a relaxed structure of Na4TaAl3P6O24.

a = 8.5121 Å, b = 8.5102 Å, c = 8.7054 Å
α = 60.52°, β = 60.64°, γ = 60.04°
Sites, in units of the cell vectors:
O1 0.7133 0.9313 0.2705
O2 0.9295 0.2703 0.7343
O3 0.9764 0.2077 0.4437
O4 0.2127 0.3648 0.4078
O5 0.3603 0.9883 0.4268
O6 0.0847 0.7213 0.2570
O7 0.1361 0.2875 0.0898
O8 0.8554 0.7268 0.9157
O9 0.4857 0.8545 0.9208
O10 0.0694 0.9185 0.7402
O11 0.7754 0.4354 0.2372
O12 0.7203 0.4816 0.9336
O13 0.5097 0.1383 0.0718
O14 0.4351 0.2174 0.7767
O15 0.6376 0.0103 0.5818
O16 0.9324 0.0891 0.2599
O17 0.5550 0.7812 0.2270
O18 0.2247 0.5697 0.7692
O19 0.0159 0.7859 0.5722
O20 0.5811 0.4314 0.7635
O21 0.7837 0.6320 0.5881
O22 0.2949 0.5211 0.0539
O23 0.2807 0.0684 0.7212
O24 0.4303 0.5557 0.2346
Na1 0.4857 0.4984 0.4935
Na2 0.0170 0.0293 0.9892
Na3 0.3869 0.7468 0.7516
Na4 0.7502 0.1068 0.7634
P1 0.4543 0.0392 0.7565
P2 0.2633 0.5306 0.2381
P3 0.5255 0.9627 0.2471
P4 0.7547 0.4498 0.7618
P5 0.0406 0.7435 0.7571
P6 0.9581 0.2642 0.2550
Al1 0.3496 0.3533 0.9421
Al2 0.6429 0.6405 0.0687
Al3 0.1463 0.1507 0.5548
Ta1 0.8622 0.8580 0.4237

Computed properties:
- VASP energy (eV/atom) = -7.554
- raw formation energy (eV/f.u.) = -95.9
- D(E_F) (states/eV/cell) = 0.0
- SG = P1 (1)

Density functional theory data (PBEsol) for a relaxed structure of NaMnCr2Au.

a = 4.7144 Å, b = 4.7144 Å, c = 4.7776 Å
α = 90.00°, β = 90.00°, γ = 90.00°
Site moments in Bohr magnetons follow the coordinates.
Sites, in units of the cell vectors:
Au1 0.0000 0.0000 0.5000  0.03
Mn1 0.5000 0.5000 0.5000  4.28
Cr1 0.5000 0.0000 0.0000  3.98
Cr2 0.0000 0.5000 0.0000  3.98
Na1 0.0000 0.0000 0.0000  0.07

Computed properties:
- VASP energy (eV/atom) = -5.166
- D(E_F) (states/eV/cell) = 3.6
- energy of formation from the pure elements (eV per atom) = 1.948
- SG = P4/mmm (123)

Density functional theory data (PBEsol) for a relaxed structure of NaSr3H.

a = 5.6116 Å, b = 5.6116 Å, c = 5.6116 Å
α = 90.00°, β = 90.00°, γ = 90.00°
Sites, in units of the cell vectors:
H1 0.0000 0.0000 0.0000
Sr1 0.0000 0.5000 0.0000
Sr2 0.0000 0.0000 0.5000
Sr3 0.5000 0.0000 0.0000
Na1 0.5000 0.5000 0.5000

Computed properties:
- VASP energy (eV/atom) = -2.143
- D(E_F) (states/eV/cell) = 3.0
- SG = Pm-3m (221)

Density functional theory data (PBEsol) for a relaxed structure of CePr4O10.

a = 5.6202 Å, b = 6.8404 Å, c = 6.8404 Å
α = 80.28°, β = 65.74°, γ = 65.74°
Site moments in Bohr magnetons follow the coordinates.
Sites, in units of the cell vectors:
Pr1 0.6005 0.1982 0.6007  -0.01
Pr2 0.7988 0.6007 0.8018  -0.01
Pr3 0.3995 0.8018 0.3993  -0.01
Pr4 0.2012 0.3993 0.1982  -0.01
O1 0.5649 0.0966 0.2900  0.34
O2 0.2500 0.5000 0.5000  0.39
O3 0.3385 0.7100 0.0966  0.34
O4 0.9515 0.9034 0.7100  0.34
O5 0.1451 0.2900 0.9034  0.34
O6 0.6615 0.2900 0.9034  0.34
O7 0.7500 0.5000 0.5000  0.39
O8 0.8549 0.7100 0.0966  0.34
O9 0.4351 0.9034 0.7100  0.34
O10 0.0485 0.0966 0.2900  0.34
Ce1 0.0000 0.0000 0.0000  -0.07

Computed properties:
- VASP energy (eV/atom) = -8.067
- raw formation energy (eV/f.u.) = -41.2
- D(E_F) (states/eV/cell) = 14.0
- SG = I4/m (87)

Density functional theory data (PBEsol) for a relaxed structure of LiMnGe2.

a = 4.2392 Å, b = 4.2392 Å, c = 4.2392 Å
α = 60.00°, β = 60.00°, γ = 60.00°
Site moments in Bohr magnetons follow the coordinates.
Sites, in units of the cell vectors:
Ge1 0.2500 0.2500 0.2500  -0.05
Ge2 0.7500 0.7500 0.7500  -0.05
Li1 0.0000 0.0000 0.0000  -0.01
Mn1 0.5000 0.5000 0.5000  2.03

Computed properties:
- VASP energy (eV/atom) = -5.437
- D(E_F) (states/eV/cell) = 2.6
- energy of formation from the pure elements (eV per atom) = -0.036
- SG = Fm-3m (225)

Density functional theory data (PBEsol) for a relaxed structure of CaTaNb2Se.

a = 4.6922 Å, b = 4.6922 Å, c = 4.8130 Å
α = 90.00°, β = 90.00°, γ = 90.00°
Sites, in units of the cell vectors:
Se1 0.0000 0.0000 0.5000
Ta1 0.5000 0.5000 0.5000
Nb1 0.5000 0.0000 0.0000
Nb2 0.0000 0.5000 0.0000
Ca1 0.0000 0.0000 0.0000

Computed properties:
- VASP energy (eV/atom) = -5.961
- raw formation energy (eV/f.u.) = 10.4
- D(E_F) (states/eV/cell) = 6.6
- SG = P4/mmm (123)

Density functional theory data (PBEsol) for a relaxed structure of Er4CdIr.

a = 9.3743 Å, b = 9.3743 Å, c = 9.3743 Å
α = 60.00°, β = 60.00°, γ = 60.00°
Sites, in units of the cell vectors:
Er1 0.4382 0.0618 0.4382
Er2 0.1904 0.1904 0.8096
Er3 0.8096 0.1904 0.1904
Er4 0.0501 0.6500 0.6500
Er5 0.6500 0.6500 0.6500
Er6 0.0618 0.4382 0.0618
Er7 0.4382 0.4382 0.0618
Er8 0.4382 0.0618 0.0618
Er9 0.0618 0.0618 0.4382
Er10 0.1904 0.8096 0.8096
Er11 0.1904 0.8096 0.1904
Er12 0.8096 0.1904 0.8096
Er13 0.8096 0.8096 0.1904
Er14 0.0618 0.4382 0.4382
Er15 0.6500 0.0501 0.6500
Er16 0.6500 0.6500 0.0501
Ir1 0.8580 0.4261 0.8580
Ir2 0.4261 0.8580 0.8580
Ir3 0.8580 0.8580 0.8580
Ir4 0.8580 0.8580 0.4261
Cd1 0.7425 0.4192 0.4192
Cd2 0.4192 0.7425 0.4192
Cd3 0.4192 0.4192 0.7425
Cd4 0.4192 0.4192 0.4192

Computed properties:
- VASP energy (eV/atom) = -5.660
- D(E_F) (states/eV/cell) = 17.9
- energy of formation from the pure elements (eV per atom) = -0.538
- SG = F-43m (216)

Density functional theory data (PBEsol) for a relaxed structure of CsRb2PdF6.

a = 6.6504 Å, b = 6.6504 Å, c = 6.6504 Å
α = 60.00°, β = 60.00°, γ = 60.00°
Site moments in Bohr magnetons follow the coordinates.
Sites, in units of the cell vectors:
F1 0.7851 0.7851 0.2149  0.05
F2 0.7851 0.2149 0.7851  0.05
F3 0.2149 0.7851 0.2149  0.05
F4 0.7851 0.2149 0.2149  0.05
F5 0.2149 0.2149 0.7851  0.05
F6 0.2149 0.7851 0.7851  0.05
Rb1 0.7500 0.7500 0.7500  0.00
Rb2 0.2500 0.2500 0.2500  0.00
Cs1 0.5000 0.5000 0.5000  0.01
Pd1 0.0000 0.0000 0.0000  0.65

Computed properties:
- VASP energy (eV/atom) = -4.217
- raw formation energy (eV/f.u.) = -21.7
- D(E_F) (states/eV/cell) = 5.2
- SG = Fm-3m (225)

Density functional theory data (PBEsol) for a relaxed structure of DySi3Rh5.

a = 3.8296 Å, b = 15.3931 Å, c = 15.3931 Å
α = 120.00°, β = 90.00°, γ = 90.00°
Sites, in units of the cell vectors:
Dy1 0.2500 0.1002 0.3945
Dy2 0.7500 0.7056 0.1002
Dy3 0.7500 0.3945 0.2944
Dy4 0.7500 0.8998 0.6055
Dy5 0.2500 0.2944 0.8998
Dy6 0.2500 0.6055 0.7056
Si1 0.2500 0.2501 0.1317
Si2 0.2500 0.5689 0.9391
Si3 0.7500 0.4419 0.6814
Si4 0.2500 0.8817 0.7499
Si5 0.2500 0.3701 0.4311
Si6 0.7500 0.4311 0.0609
Si7 0.7500 0.1183 0.2501
Si8 0.7500 0.7499 0.8683
Si9 0.2500 0.8683 0.1183
Si10 0.2500 0.0609 0.6299
Si11 0.7500 0.9391 0.3701
Si12 0.7500 0.3186 0.7605
Si13 0.2500 0.7605 0.4419
Si14 0.7500 0.6299 0.5689
Si15 0.2500 0.5581 0.3186
Si16 0.2500 0.6814 0.2395
Si17 0.7500 0.2395 0.5581
Si18 0.7500 0.1317 0.8817
Rh1 0.2500 0.7390 0.5862
Rh2 0.2500 0.0454 0.7755
Rh3 0.2500 0.2234 0.6527
Rh4 0.2500 0.8472 0.2610
Rh5 0.2500 0.4293 0.7766
Rh6 0.7500 0.6527 0.4293
Rh7 0.7500 0.5862 0.8472
Rh8 0.2500 0.3473 0.5707
Rh9 0.7500 0.4620 0.9250
Rh10 0.2500 0.9250 0.4630
Rh11 0.7500 0.9729 0.8628
Rh12 0.2500 0.5380 0.0750
Rh13 0.7500 0.7755 0.7302
Rh14 0.7500 0.0750 0.5370
Rh15 0.7500 0.1528 0.7390
Rh16 0.7500 0.7766 0.3473
Rh17 0.7500 0.2698 0.0454
Rh18 0.2500 0.5370 0.4620
Rh19 0.7500 0.9546 0.2245
Rh20 0.2500 0.4138 0.1528
Rh21 0.2500 0.7302 0.9546
Rh22 0.7500 0.5707 0.2234
Rh23 0.7500 0.2610 0.4138
Rh24 0.7500 0.1372 0.1101
Rh25 0.7500 0.4630 0.5380
Rh26 0.2500 0.2245 0.2698
Rh27 0.2500 0.0271 0.1372
Rh28 0.7500 0.8899 0.0271
Rh29 0.2500 0.1101 0.9729
Rh30 0.2500 0.8628 0.8899

Computed properties:
- VASP energy (eV/atom) = -8.009
- raw formation energy (eV/f.u.) = -9.2
- D(E_F) (states/eV/cell) = 22.7
- SG = P6_3/m (176)

Density functional theory data (PBEsol) for a relaxed structure of InW4.

a = 4.3618 Å, b = 4.8705 Å, c = 4.8705 Å
α = 78.43°, β = 63.40°, γ = 63.40°
Sites, in units of the cell vectors:
W1 0.5826 0.2187 0.6160
W2 0.4174 0.7813 0.3840
W3 0.8013 0.6160 0.7813
W4 0.1987 0.3840 0.2187
In1 0.0000 0.0000 0.0000

Computed properties:
- VASP energy (eV/atom) = -11.156
- D(E_F) (states/eV/cell) = 3.6
- energy of formation from the pure elements (eV per atom) = 0.486
- SG = I4/m (87)

Density functional theory data (PBEsol) for a relaxed structure of NiMo2Au.

a = 2.6619 Å, b = 4.8882 Å, c = 4.8882 Å
α = 115.31°, β = 90.00°, γ = 90.00°
Sites, in units of the cell vectors:
Mo1 0.0000 0.0000 0.5000
Mo2 0.0000 0.5000 0.0000
Ni1 0.5000 0.5000 0.5000
Au1 0.5000 0.0000 0.0000

Computed properties:
- VASP energy (eV/atom) = -8.229
- D(E_F) (states/eV/cell) = 4.2
- energy of formation from the pure elements (eV per atom) = 0.175
- SG = Cmmm (65)

Density functional theory data (PBEsol) for a relaxed structure of MoSe2.

a = 3.0456 Å, b = 3.0456 Å, c = 6.4943 Å
α = 103.56°, β = 103.56°, γ = 90.00°
Sites, in units of the cell vectors:
Se1 0.8747 0.8747 0.7495
Se2 0.1253 0.1253 0.2505
Mo1 0.5000 0.5000 0.0000

Computed properties:
- VASP energy (eV/atom) = -6.902
- raw formation energy (eV/f.u.) = -1.2
- D(E_F) (states/eV/cell) = 1.0
- SG = I4/mmm (139)

Density functional theory data (PBEsol) for a relaxed structure of ZrFe2Br.

a = 3.4336 Å, b = 3.4336 Å, c = 5.6539 Å
α = 90.00°, β = 90.00°, γ = 90.00°
Site moments in Bohr magnetons follow the coordinates.
Sites, in units of the cell vectors:
Br1 0.5000 0.5000 0.5000  0.01
Fe1 0.0000 0.0000 0.8003  1.95
Fe2 0.0000 0.0000 0.1997  1.95
Zr1 0.5000 0.5000 0.0000  -0.42

Computed properties:
- VASP energy (eV/atom) = -7.025
- raw formation energy (eV/f.u.) = 0.8
- D(E_F) (states/eV/cell) = 2.3
- SG = P4/mmm (123)

Density functional theory data (PBEsol) for a relaxed structure of LiMoRuN2.

a = 3.8415 Å, b = 3.8415 Å, c = 4.5737 Å
α = 90.00°, β = 90.00°, γ = 90.00°
Site moments in Bohr magnetons follow the coordinates.
Sites, in units of the cell vectors:
N1 0.5000 0.0000 0.0000  0.01
N2 0.0000 0.5000 0.0000  0.01
Ru1 0.5000 0.5000 0.5000  2.19
Li1 0.0000 0.0000 0.5000  -0.01
Mo1 0.0000 0.0000 0.0000  0.07

Computed properties:
- VASP energy (eV/atom) = -6.983
- raw formation energy (eV/f.u.) = 6.0
- D(E_F) (states/eV/cell) = 4.8
- SG = P4/mmm (123)

Density functional theory data (PBEsol) for a relaxed structure of KTiAuCl2.

a = 5.1910 Å, b = 5.1910 Å, c = 5.6584 Å
α = 90.00°, β = 90.00°, γ = 90.00°
Site moments in Bohr magnetons follow the coordinates.
Sites, in units of the cell vectors:
Ti1 0.5000 0.5000 0.5000  2.32
Cl1 0.5000 0.0000 0.0000  0.01
Cl2 0.0000 0.5000 0.0000  0.01
K1 0.0000 0.0000 0.5000  0.04
Au1 0.0000 0.0000 0.0000  0.00

Computed properties:
- VASP energy (eV/atom) = -2.994
- raw formation energy (eV/f.u.) = 2.4
- D(E_F) (states/eV/cell) = 8.5
- SG = P4/mmm (123)

Density functional theory data (PBEsol) for a relaxed structure of ScNb2Pt.

a = 4.5804 Å, b = 4.5804 Å, c = 4.5804 Å
α = 60.00°, β = 60.00°, γ = 60.00°
Sites, in units of the cell vectors:
Sc1 0.0000 0.0000 0.0000
Pt1 0.5000 0.5000 0.5000
Nb1 0.2500 0.2500 0.2500
Nb2 0.7500 0.7500 0.7500

Computed properties:
- VASP energy (eV/atom) = -8.927
- D(E_F) (states/eV/cell) = 4.1
- energy of formation from the pure elements (eV per atom) = -0.125
- SG = Fm-3m (225)

Density functional theory data (PBEsol) for a relaxed structure of Eu2NiRuO6.

a = 5.3525 Å, b = 5.6020 Å, c = 7.6303 Å
α = 90.00°, β = 89.65°, γ = 90.00°
Site moments in Bohr magnetons follow the coordinates.
Sites, in units of the cell vectors:
O1 0.2000 0.3020 0.4554  -0.20
O2 0.3068 0.7936 0.4530  -0.20
O3 0.3000 0.8020 0.0446  -0.20
O4 0.9103 0.9773 0.2492  -0.19
O5 0.0897 0.0227 0.7508  -0.19
O6 0.7000 0.1980 0.9554  -0.20
O7 0.6932 0.2064 0.5470  -0.20
O8 0.8068 0.7064 0.9530  -0.20
O9 0.4103 0.5227 0.7492  -0.19
O10 0.8000 0.6980 0.5446  -0.20
O11 0.5897 0.4773 0.2508  -0.19
O12 0.1932 0.2936 0.0470  -0.20
Eu1 0.5156 0.9378 0.7514  6.35
Eu2 0.0156 0.5622 0.2514  6.35
Eu3 0.9844 0.4378 0.7486  6.35
Eu4 0.4844 0.0622 0.2486  6.35
Ru1 0.5000 0.5000 0.5000  -1.58
Ru2 0.0000 0.0000 0.0000  -1.58
Ni1 0.0000 0.0000 0.5000  -1.54
Ni2 0.5000 0.5000 0.0000  -1.54

Computed properties:
- VASP energy (eV/atom) = -8.850
- raw formation energy (eV/f.u.) = -19.5
- D(E_F) (states/eV/cell) = 46.4
- SG = P2_1/c (14)

Density functional theory data (PBEsol) for a relaxed structure of TaMo2Ir.

a = 4.4446 Å, b = 4.4446 Å, c = 4.4446 Å
α = 60.00°, β = 60.00°, γ = 60.00°
Sites, in units of the cell vectors:
Mo1 0.2500 0.2500 0.2500
Mo2 0.7500 0.7500 0.7500
Ta1 0.5000 0.5000 0.5000
Ir1 0.0000 0.0000 0.0000

Computed properties:
- VASP energy (eV/atom) = -11.432
- D(E_F) (states/eV/cell) = 5.5
- energy of formation from the pure elements (eV per atom) = 0.046
- SG = Fm-3m (225)

Density functional theory data (PBEsol) for a relaxed structure of Tc2SbBr.

a = 3.0918 Å, b = 3.0918 Å, c = 8.3001 Å
α = 79.27°, β = 79.27°, γ = 60.00°
Sites, in units of the cell vectors:
Sb1 0.0000 0.0000 0.0000
Br1 0.5000 0.5000 0.5000
Tc1 0.7501 0.7501 0.7496
Tc2 0.2499 0.2499 0.2504

Computed properties:
- VASP energy (eV/atom) = -6.748
- raw formation energy (eV/f.u.) = 2.0
- D(E_F) (states/eV/cell) = 3.3
- SG = R-3m (166)

Density functional theory data (PBEsol) for a relaxed structure of YIn2Cl.

a = 3.5937 Å, b = 5.2303 Å, c = 5.4761 Å
α = 90.00°, β = 90.35°, γ = 90.00°
Sites, in units of the cell vectors:
Cl1 0.5000 0.5000 0.5000
In1 0.0075 0.0000 0.2460
In2 0.9925 0.0000 0.7540
Y1 0.5000 0.5000 0.0000

Computed properties:
- VASP energy (eV/atom) = -4.276
- raw formation energy (eV/f.u.) = -2.3
- D(E_F) (states/eV/cell) = 2.0
- SG = P2/m (10)